1.
# BaCaCN2 | Alexandria via LeMat-Bulk | PBE | optimized geometry
data_BaCaCN2
_chemical_formula_sum 'Ba2 Ca2 C2 N4'
_cell_length_a 7.7008
_cell_length_b 3.9119
_cell_length_c 10.4733
_cell_angle_alpha 90.00
_cell_angle_beta 124.44
_cell_angle_gamma 90.00
_symmetry_space_group_name_H-M 'P 1 2/c 1'
_symmetry_Int_Tables_number 13
_symmetry_space_group_name_Hall '-P 2yc'
loop_
_atom_site_label
_atom_site_type_symbol
_atom_site_fract_x
_atom_site_fract_y
_atom_site_fract_z
_atom_site_occupancy
Ba1 Ba 0.0000 0.0014 0.2500 1
Ca1 Ca 0.5000 0.4991 0.7500 1
C1 C 0.5000 0.0000 0.0000 1
N1 N 0.4319 0.0011 0.3607 1
# Energy relative to the elements, uncorrected, eV/atom: -0.55

2.
# BaCaCO3 | Alexandria via LeMat-Bulk | PBE | optimized geometry
data_BaCaCO3
_chemical_formula_sum 'Ba2 Ca2 C2 O6'
_cell_length_a 5.2645
_cell_length_b 5.2645
_cell_length_c 13.3498
_cell_angle_alpha 90.00
_cell_angle_beta 90.00
_cell_angle_gamma 120.00
_symmetry_space_group_name_H-M 'P 63 m c'
_symmetry_Int_Tables_number 186
_symmetry_space_group_name_Hall 'P 6c -2c'
loop_
_atom_site_label
_atom_site_type_symbol
_atom_site_fract_x
_atom_site_fract_y
_atom_site_fract_z
_atom_site_occupancy
Ba1 Ba 0.3333 0.6667 0.0000 1
Ca1 Ca 0.3333 0.6667 0.3024 1
C1 C 0.0000 0.0000 0.4186 1
O1 O 0.1423 0.2846 0.4206 1
# Energy relative to the elements, uncorrected, eV/atom: -1.75

3.
# BaCa3C4O12 | Alexandria via LeMat-Bulk | PBE | optimized geometry
data_BaCa3C4O12
_chemical_formula_sum 'Ba3 Ca9 C12 O36'
_cell_length_a 10.3426
_cell_length_b 10.3426
_cell_length_c 9.0427
_cell_angle_alpha 90.00
_cell_angle_beta 90.00
_cell_angle_gamma 120.00
_symmetry_space_group_name_H-M 'R 3 2'
_symmetry_Int_Tables_number 155
_symmetry_space_group_name_Hall 'R 3 2"'
loop_
_atom_site_label
_atom_site_type_symbol
_atom_site_fract_x
_atom_site_fract_y
_atom_site_fract_z
_atom_site_occupancy
Ba1 Ba 0.0000 0.0000 0.0000 1
Ca1 Ca 0.0000 0.5379 0.0000 1
C1 C 0.0000 0.0000 0.5000 1
C2 C 0.0000 0.4608 0.5000 1
O1 O 0.0000 0.5875 0.5000 1
O2 O 0.0000 0.8743 0.5000 1
O3 O 0.0038 0.2088 0.8158 1
# Energy relative to the elements, uncorrected, eV/atom: -2.25

4.
# Ba2CaScC | Alexandria via LeMat-Bulk | PBE | optimized geometry
data_Ba2CaScC
_chemical_formula_sum 'Ba2 Ca1 Sc1 C1'
_cell_length_a 6.6431
_cell_length_b 6.6431
_cell_length_c 6.0816
_cell_angle_alpha 90.00
_cell_angle_beta 90.00
_cell_angle_gamma 90.00
_symmetry_space_group_name_H-M 'P 4/m m m'
_symmetry_Int_Tables_number 123
_symmetry_space_group_name_Hall '-P 4 2'
loop_
_atom_site_label
_atom_site_type_symbol
_atom_site_fract_x
_atom_site_fract_y
_atom_site_fract_z
_atom_site_occupancy
Ba1 Ba 0.0000 0.5000 0.0000 1
Ca1 Ca 0.0000 0.0000 0.5000 1
Sc1 Sc 0.0000 0.0000 0.0000 1
C1 C 0.5000 0.5000 0.5000 1
# Energy relative to the elements, kJ per mole of atoms: 176.73

5.
# BaCa2SnC | Alexandria via LeMat-Bulk | PBE | optimized geometry
data_BaCa2SnC
_chemical_formula_sum 'Ba1 Ca2 Sn1 C1'
_cell_length_a 5.2416
_cell_length_b 5.2416
_cell_length_c 5.1922
_cell_angle_alpha 90.00
_cell_angle_beta 90.00
_cell_angle_gamma 90.00
_symmetry_space_group_name_H-M 'P 4/m m m'
_symmetry_Int_Tables_number 123
_symmetry_space_group_name_Hall '-P 4 2'
loop_
_atom_site_label
_atom_site_type_symbol
_atom_site_fract_x
_atom_site_fract_y
_atom_site_fract_z
_atom_site_occupancy
Ba1 Ba 0.0000 0.0000 0.0000 1
Ca1 Ca 0.0000 0.5000 0.5000 1
Sn1 Sn 0.5000 0.5000 0.0000 1
C1 C 0.0000 0.0000 0.5000 1
# Energy relative to the elements, kJ per mole of atoms: -1.46

6.
# BaSrCa2C | Alexandria via LeMat-Bulk | PBE | optimized geometry
data_BaSrCa2C
_chemical_formula_sum 'Ba1 Sr1 Ca2 C1'
_cell_length_a 5.3884
_cell_length_b 5.3884
_cell_length_c 6.0621
_cell_angle_alpha 90.00
_cell_angle_beta 90.00
_cell_angle_gamma 90.00
_symmetry_space_group_name_H-M 'P 4/m m m'
_symmetry_Int_Tables_number 123
_symmetry_space_group_name_Hall '-P 4 2'
loop_
_atom_site_label
_atom_site_type_symbol
_atom_site_fract_x
_atom_site_fract_y
_atom_site_fract_z
_atom_site_occupancy
Ba1 Ba 0.0000 0.0000 0.0000 1
Sr1 Sr 0.5000 0.5000 0.0000 1
Ca1 Ca 0.0000 0.5000 0.5000 1
C1 C 0.0000 0.0000 0.5000 1
# Energy relative to the elements, kJ per mole of atoms: 36.71

7.
# BaCaZn2C | Alexandria via LeMat-Bulk | PBE | optimized geometry
data_BaCaZn2C
_chemical_formula_sum 'Ba1 Ca1 Zn2 C1'
_cell_length_a 5.6148
_cell_length_b 5.6148
_cell_length_c 4.6071
_cell_angle_alpha 90.00
_cell_angle_beta 90.00
_cell_angle_gamma 90.00
_symmetry_space_group_name_H-M 'P 4/m m m'
_symmetry_Int_Tables_number 123
_symmetry_space_group_name_Hall '-P 4 2'
loop_
_atom_site_label
_atom_site_type_symbol
_atom_site_fract_x
_atom_site_fract_y
_atom_site_fract_z
_atom_site_occupancy
Ba1 Ba 0.0000 0.0000 0.0000 1
Ca1 Ca 0.5000 0.5000 0.5000 1
Zn1 Zn 0.0000 0.5000 0.5000 1
C1 C 0.5000 0.5000 0.0000 1
# Energy relative to the elements, kJ per mole of atoms: 82.14

8.
# BaCd2C | Alexandria via LeMat-Bulk | PBE | optimized geometry
data_BaCd2C
_chemical_formula_sum 'Ba4 Cd8 C4'
_cell_length_a 7.4469
_cell_length_b 7.4469
_cell_length_c 7.4469
_cell_angle_alpha 90.00
_cell_angle_beta 90.00
_cell_angle_gamma 90.00
_symmetry_space_group_name_H-M 'F m -3 m'
_symmetry_Int_Tables_number 225
_symmetry_space_group_name_Hall '-F 4 2 3'
loop_
_atom_site_label
_atom_site_type_symbol
_atom_site_fract_x
_atom_site_fract_y
_atom_site_fract_z
_atom_site_occupancy
Ba1 Ba 0.0000 0.0000 0.0000 1
Cd1 Cd 0.2500 0.2500 0.2500 1
C1 C 0.0000 0.0000 0.5000 1
# Excess energy over the best structure of this formula in the dataset, meV/atom: 509
# Energy relative to the elements, kJ per mole of atoms: 116.50

9.
# BaCdC2 | Alexandria via LeMat-Bulk | PBE | optimized geometry
data_BaCdC2
_chemical_formula_sum 'Ba4 Cd4 C8'
_cell_length_a 6.6506
_cell_length_b 6.6506
_cell_length_c 6.6506
_cell_angle_alpha 90.00
_cell_angle_beta 90.00
_cell_angle_gamma 90.00
_symmetry_space_group_name_H-M 'F m -3 m'
_symmetry_Int_Tables_number 225
_symmetry_space_group_name_Hall '-F 4 2 3'
loop_
_atom_site_label
_atom_site_type_symbol
_atom_site_fract_x
_atom_site_fract_y
_atom_site_fract_z
_atom_site_occupancy
Ba1 Ba 0.0000 0.0000 0.0000 1
Cd1 Cd 0.0000 0.0000 0.5000 1
C1 C 0.2500 0.2500 0.2500 1
# Excess energy over the best structure of this formula in the dataset, meV/atom: 285
# Energy relative to the elements, kJ per mole of atoms: 176.97

10.
# BaCdC2 | Alexandria via LeMat-Bulk | PBE | optimized geometry
data_BaCdC2
_chemical_formula_sum 'Ba4 Cd4 C8'
_cell_length_a 4.7047
_cell_length_b 4.7047
_cell_length_c 14.9502
_cell_angle_alpha 90.00
_cell_angle_beta 90.00
_cell_angle_gamma 90.00
_symmetry_space_group_name_H-M 'I -4 2 d'
_symmetry_Int_Tables_number 122
_symmetry_space_group_name_Hall 'I -4 2bw'
loop_
_atom_site_label
_atom_site_type_symbol
_atom_site_fract_x
_atom_site_fract_y
_atom_site_fract_z
_atom_site_occupancy
Ba1 Ba 0.0000 0.0000 0.0000 1
Cd1 Cd 0.0000 0.0000 0.5000 1
C1 C 0.0093 0.7500 0.6250 1
# Excess energy over the best structure of this formula in the dataset, meV/atom: 0
# Energy relative to the elements, kJ per mole of atoms: 149.50

11.
# BaCd2C | Alexandria via LeMat-Bulk | PBE | optimized geometry
data_BaCd2C
_chemical_formula_sum 'Ba4 Cd8 C4'
_cell_length_a 7.0298
_cell_length_b 7.0298
_cell_length_c 9.9216
_cell_angle_alpha 90.00
_cell_angle_beta 90.00
_cell_angle_gamma 90.00
_symmetry_space_group_name_H-M 'I 41/a m d'
_symmetry_Int_Tables_number 141
loop_
_symmetry_equiv_pos_as_xyz
'x,y,z'
'-x,-y,-z'
'-y+1/4,x+3/4,z+1/4'
'y+1/4,-x+3/4,-z+1/4'
'-x+1/2,-y,z+1/2'
'x+1/2,y,-z+1/2'
'y+1/4,-x+1/4,z+3/4'
'-y+1/4,x+1/4,-z+3/4'
'x,-y,-z'
'-x,y,z'
'-y+1/4,-x+1/4,-z+3/4'
'y+1/4,x+1/4,z+3/4'
'-x+1/2,y,-z+1/2'
'x+1/2,-y,z+1/2'
'y+1/4,x+3/4,-z+1/4'
'-y+1/4,-x+3/4,z+1/4'
'x+1/2,y+1/2,z+1/2'
'-x+1/2,-y+1/2,-z+1/2'
'-y+3/4,x+1/4,z+3/4'
'y+3/4,-x+1/4,-z+3/4'
'-x,-y+1/2,z'
'x,y+1/2,-z'
'y+3/4,-x+3/4,z+1/4'
'-y+3/4,x+3/4,-z+1/4'
'x+1/2,-y+1/2,-z+1/2'
'-x+1/2,y+1/2,z+1/2'
'-y+3/4,-x+3/4,-z+1/4'
'y+3/4,x+3/4,z+1/4'
'-x,y+1/2,-z'
'x,-y+1/2,z'
'y+3/4,x+1/4,-z+3/4'
'-y+3/4,-x+1/4,z+3/4'
loop_
_atom_site_label
_atom_site_type_symbol
_atom_site_fract_x
_atom_site_fract_y
_atom_site_fract_z
_atom_site_occupancy
Ba1 Ba 0.0000 0.2500 0.3750 1
Cd1 Cd 0.0000 0.0000 0.0000 1
C1 C 0.0000 0.2500 0.8750 1
# Excess energy over the best structure of this formula in the dataset, meV/atom: 0
# Energy relative to the elements, kJ per mole of atoms: 67.42

12.
# Ba2CdCoC | Alexandria via LeMat-Bulk | PBE | optimized geometry
data_Ba2CdCoC
_chemical_formula_sum 'Ba2 Cd1 Co1 C1'
_cell_length_a 5.9902
_cell_length_b 5.9902
_cell_length_c 3.7029
_cell_angle_alpha 90.00
_cell_angle_beta 90.00
_cell_angle_gamma 90.00
_symmetry_space_group_name_H-M 'P 4/m m m'
_symmetry_Int_Tables_number 123
_symmetry_space_group_name_Hall '-P 4 2'
loop_
_atom_site_label
_atom_site_type_symbol
_atom_site_fract_x
_atom_site_fract_y
_atom_site_fract_z
_atom_site_occupancy
Ba1 Ba 0.0000 0.5000 0.0000 1
Cd1 Cd 0.0000 0.0000 0.5000 1
Co1 Co 0.5000 0.5000 0.5000 1
C1 C 0.5000 0.5000 0.0000 1
# Energy relative to the elements, kJ per mole of atoms: 11.47

| no. | total magnetization (μB per cell) | D(E_F) (states/eV/cell) | uncorrected energy (eV/atom) |
| --- | --- | --- | --- |
| 1 | 0.00 | 2.93 | -6.51 |
| 2 | 0.00 | 3.01 | -6.42 |
| 3 | 0.00 | 0.00 | -7.47 |
| 4 | 6.35 | 5.84 | -2.45 |
| 5 | 0.00 | 6.59 | -3.85 |
| 6 | 0.00 | 5.03 | -2.99 |
| 7 | 0.00 | 4.52 | -2.29 |
| 8 | 0.00 | 8.45 | -2.04 |
| 9 | 0.00 | 11.27 | -3.49 |
| 10 | 0.00 | 10.20 | -3.77 |
| 11 | 0.00 | 12.19 | -2.55 |
| 12 | 0.00 | 3.50 | -4.10 |